The following is a DFT calculation (PBE) of PuAgAuO5 after structural relaxation.

abc: 6.5199 6.5199 8.1445
angles: 106.58 106.58 115.06
With the nearest neighbours (Å) after each atom.
Sites, in units of the cell vectors:
Pu: 0.0000 0.0000 0.5000  2 O 1.80
Pu: 0.0000 0.0000 0.0000  2 O 1.80
Ag: 0.2864 0.7136 0.2500  2 O 2.18
Ag: 0.7136 0.2864 0.7500  2 O 2.18
Au: 0.7790 0.2210 0.2500  2 O 2.00
Au: 0.2210 0.7790 0.7500  2 O 2.00
O: 0.0493 0.9507 0.2500  2 Pu 2.11
O: 0.9507 0.0493 0.7500  2 Pu 2.11
O: 0.9342 0.3317 0.0865  1 Au 2.00, 1 Ag 2.18
O: 0.0658 0.6683 0.9135  1 Au 2.00, 1 Ag 2.18
O: 0.6683 0.0658 0.4135  1 Au 2.00, 1 Ag 2.18
O: 0.3317 0.9342 0.5865  1 Au 2.00, 1 Ag 2.18
O: 0.7640 0.6623 0.3850  1 Pu 1.80
O: 0.2360 0.3377 0.6150  1 Pu 1.80
O: 0.3377 0.2360 0.1150  1 Pu 1.80
O: 0.6623 0.7640 0.8850  1 Pu 1.80

## Properties
- Space-group type: C2/c (15)
- Formation energy without anion corrections: -1.15 eV/atom